The following is a DFT calculation (meta-GGA SCAN) of Pd2SeO at its PBEsol-relaxed geometry.

Lattice parameters (Å, degrees): 6.0037 6.0037 6.5967 90.00 90.00 90.00
Space group I-42d (No. 122)
Asymmetric unit:
Pd (0.2086, 0.7500, 0.1250)
Se (0.0000, 0.0000, 0.5000)
O (0.0000, 0.0000, 0.0000)

=====

The following is a DFT calculation (meta-GGA SCAN) of SiPdO2 at its PBEsol-relaxed geometry.

Lattice parameters (Å, degrees): 2.6518 2.6518 26.7737 90.00 90.00 120.00
Space group R-3m (No. 166, hexagonal axes)
Asymmetric unit:
Si (0.0000, 0.0000, 0.0000)
Pd (0.0000, 0.0000, 0.5000)
O (0.0000, 0.0000, 0.3677)

=====

Raw formation energy
In order: -0.0989, -1.7258
Unit: eV per atom